Material: PmPOsO
Method: DFT, GGA-PBE
State: relaxed

Lattice parameters (Å, degrees): 4.0475 4.0475 8.1978 90.00 90.00 90.00
Element x y z (fractional)
Pm 0.2500 0.2500 0.1403
Pm 0.7500 0.7500 0.8597
P 0.2500 0.2500 0.6469
P 0.7500 0.7500 0.3531
Os 0.2500 0.7500 0.5000
Os 0.7500 0.2500 0.5000
O 0.2500 0.7500 0.0000
O 0.7500 0.2500 0.0000

Summary:
- Space-group type: No. 129
- Formation energy without anion corrections: -713 kJ/mol of formula units